No. 1
Ca2ZnPtN after structural relaxation. Source: the Alexandria database, functional PBE.

abc: 4.979 4.979 3.952
angles: 90.00 90.00 90.00
Positions (direct):
N  0.000  0.000  0.000
Ca  0.500  0.000  0.000
Ca  0.000  0.500  0.000
Zn  0.500  0.500  0.500
Pt  0.000  0.000  0.500

Output
E_form (uncorrected), eV/atom: -0.508
Fermi-level density of states, states/eV/f.u.: 4.0
ΔE to the lowest computed polymorph, meV per atom: 107.7

No. 2
Np3AsS2 after structural relaxation. Source: the Alexandria database, functional PBE.

abc: 3.991 5.640 6.887
angles: 114.17 106.84 90.00
Last column: magnetic moment on the atom in μB.
Positions (direct):
Np  0.000  0.000  0.000  3.85
Np  0.674  0.674  0.348  3.90
S  0.336  0.836  0.673  -0.11
As  0.000  0.500  0.000  -0.10
S  0.664  0.164  0.327  -0.11
Np  0.326  0.326  0.652  3.90

Output
E_form (uncorrected), eV/atom: -1.134
Fermi-level density of states, states/eV/f.u.: 21.9

No. 3
SrHo2MnN4 after structural relaxation. Source: the Alexandria database, functional PBE.

abc: 3.439 6.136 11.650
angles: 90.00 90.00 106.27
Last column: magnetic moment on the atom in μB.
Positions (direct):
N  0.260  0.519  0.378  0.04
Ho  0.370  0.739  0.543  0.05
Ho  0.370  0.739  0.957  0.05
N  0.260  0.519  0.122  0.04
Mn  0.175  0.349  0.250  2.16
Ho  0.630  0.261  0.043  0.05
N  0.400  0.800  0.750  -0.03
N  0.000  0.000  0.500  0.04
N  0.000  0.000  0.000  0.04
N  0.600  0.200  0.250  -0.03
Ho  0.630  0.261  0.457  0.05
N  0.740  0.481  0.878  0.04
N  0.740  0.481  0.622  0.04
Sr  0.097  0.194  0.750  0.02
Sr  0.903  0.806  0.250  0.02
Mn  0.825  0.651  0.750  2.16

Output
E_form (uncorrected), eV/atom: -1.141
Fermi-level density of states, states/eV/f.u.: 1.5

No. 4
Dy6AuSe5 after structural relaxation. Source: the Alexandria database, functional PBE.

abc: 7.109 7.109 7.103
angles: 99.60 99.60 119.97
Positions (direct):
Se  0.665  0.335  0.000
Dy  0.919  0.588  0.754
Dy  0.412  0.081  0.246
Dy  0.588  0.919  0.754
Se  0.335  0.665  0.000
Dy  0.753  0.753  0.248
Au  0.000  0.000  0.000
Dy  0.247  0.247  0.752
Se  0.500  0.500  0.500
Se  0.170  0.830  0.500
Dy  0.081  0.412  0.246
Se  0.830  0.170  0.500

Output
E_form (uncorrected), eV/atom: -1.623
Fermi-level density of states, states/eV/f.u.: 4.6

No. 5
KSb2Te after structural relaxation. Source: the Alexandria database, functional PBE.

abc: 4.466 4.466 7.369
angles: 90.00 90.00 90.00
Positions (direct):
Sb  0.000  0.000  0.124
K  0.500  0.500  0.691
Sb  0.500  0.500  0.184
Te  0.000  0.000  0.501

Output
E_form (uncorrected), eV/atom: -0.146
Fermi-level density of states, states/eV/f.u.: 4.6

No. 6
CaMg2Re after structural relaxation. Source: the Alexandria database, functional PBE.

abc: 2.920 2.920 9.755
angles: 90.00 90.00 90.00
Positions (direct):
Mg  0.500  0.500  0.273
Re  0.000  0.000  0.484
Mg  0.000  0.000  0.017
Ca  0.500  0.500  0.726

Output
Calculated formation energy, meV/atom: 442.6
Fermi-level density of states, states/eV/f.u.: 5.0
ΔE to the lowest computed polymorph, meV per atom: 33.2

no.,magnetic moment (μB per formula unit),total energy (eV/atom),mass density (Mg/m³)
1,0.0,-4.44,6.010
2,12.4,-9.76,10.525
3,2.7,-7.80,7.437
4,0.0,-5.65,8.874
5,0.0,-3.27,4.635
6,0.0,-3.97,5.489